Entry 1:
Density functional theory data (GGA-PBE) for a geometry-optimized Ba2SrGa2S6 structure.

Unit cell a=7.1886 b=7.1886 c=23.3768 alpha=90.00 beta=90.00 gamma=120.00
Space group R-3m (No. 166, hexagonal axes)
Symmetry-distinct sites (fractional):
Ba: 0.0000 0.0000 0.2056 (multiplicity 6)
Sr: 0.0000 0.0000 0.0000 (multiplicity 3)
Ga: 0.0000 0.0000 0.4271 (multiplicity 6)
S: 0.0166 0.5083 0.7613 (multiplicity 18)

Output
Formation energy (no corrections) in kJ/mol of formula units: -1427
Fermi-level density of states in states/eV/cell: 0.00

***

Entry 2:
Density functional theory data (GGA-PBE) for a geometry-optimized Ba2TbGaS5 structure.

Unit cell a=4.070 b=18.394 c=13.039 alpha=90.00 beta=90.00 gamma=90.00
Space group Cmc2_1 (No. 36)
Symmetry-distinct sites (fractional):
Ba: 0.000 0.120 0.000 (multiplicity 4)
Ba: 0.000 0.128 0.642 (multiplicity 4)
Tb: 0.000 0.204 0.343 (multiplicity 4)
Ga: 0.000 0.441 0.743 (multiplicity 4)
S: 0.000 0.045 0.341 (multiplicity 4)
S: 0.000 0.296 0.981 (multiplicity 4)
S: 0.000 0.318 0.694 (multiplicity 4)
S: 0.000 0.348 0.323 (multiplicity 4)
S: 0.000 0.500 0.093 (multiplicity 4)

Output
Formation energy (no corrections) in kJ/mol of formula units: -1519
Fermi-level density of states in states/eV/cell: 0.00

***

Entry 3:
Density functional theory data (GGA-PBE) for a geometry-optimized Ba2TbGa2S6 structure.

Unit cell a=11.535 b=7.268 c=7.922 alpha=90.00 beta=112.95 gamma=90.00
Space group C2/m (No. 12)
Symmetry-distinct sites (fractional):
Ba: 0.200 0.000 0.170 (multiplicity 4)
Tb: 0.000 0.000 0.500 (multiplicity 2)
Ga: 0.043 0.500 0.347 (multiplicity 4)
S: 0.054 0.238 0.795 (multiplicity 8)
S: 0.250 0.000 0.585 (multiplicity 4)

Output
Formation energy (no corrections) in kJ/mol of formula units: -1470
Fermi-level density of states in states/eV/cell: 8.04

***

Entry 4:
Density functional theory data (GGA-PBE) for a geometry-optimized BaGaTe2S6 structure.

Unit cell a=11.599 b=16.139 c=7.934 alpha=90.00 beta=122.45 gamma=90.00
Space group C2/c (No. 15)
Symmetry-distinct sites (fractional):
Ba: 0.000 0.107 0.250 (multiplicity 4)
Ga: 0.000 0.183 0.750 (multiplicity 4)
Te: 0.121 0.397 0.142 (multiplicity 8)
S: 0.116 0.236 0.061 (multiplicity 8)
S: 0.131 0.075 0.727 (multiplicity 8)
S: 0.160 0.401 0.465 (multiplicity 8)

Output
Formation energy (no corrections) in kJ/mol of formula units: -452
Fermi-level density of states in states/eV/cell: 10.75

***

Entry 5:
Density functional theory data (GGA-PBE) for a geometry-optimized Ba2TiGaS5 structure.

Unit cell a=3.969 b=18.041 c=12.654 alpha=90.00 beta=90.00 gamma=90.00
Space group Cmc2_1 (No. 36)
Symmetry-distinct sites (fractional):
Ba: 0.000 0.124 0.000 (multiplicity 4)
Ba: 0.000 0.133 0.619 (multiplicity 4)
Ti: 0.000 0.213 0.333 (multiplicity 4)
Ga: 0.000 0.434 0.748 (multiplicity 4)
S: 0.000 0.060 0.350 (multiplicity 4)
S: 0.000 0.295 0.954 (multiplicity 4)
S: 0.000 0.310 0.696 (multiplicity 4)
S: 0.000 0.342 0.313 (multiplicity 4)
S: 0.000 0.498 0.595 (multiplicity 4)

Output
Formation energy (no corrections) in kJ/mol of formula units: -1295
Fermi-level density of states in states/eV/cell: 11.12

***

Entry 6:
Density functional theory data (GGA-PBE) for a geometry-optimized BaTmGaS4 structure.

Unit cell a=6.514 b=6.739 c=8.433 alpha=90.00 beta=107.52 gamma=90.00
Space group P2_1/m (No. 11)
Symmetry-distinct sites (fractional):
Ba: 0.248 0.250 0.439 (multiplicity 2)
Tm: 0.281 0.250 0.948 (multiplicity 2)
Ga: 0.265 0.750 0.170 (multiplicity 2)
S: 0.038 0.750 0.912 (multiplicity 2)
S: 0.065 0.750 0.349 (multiplicity 2)
S: 0.493 0.506 0.787 (multiplicity 4)

Output
Formation energy (no corrections) in kJ/mol of formula units: -1070
Fermi-level density of states in states/eV/cell: 0.00